# 1
First-principles (PBE) data for Cs5K5Na6 after structural relaxation, as listed in the Alexandria database.

The structure in CIF format:
```
data_Cs5K5Na6
_symmetry_space_group_name_H-M 'P 1'
_symmetry_Int_Tables_number 1
_cell_length_a 8.382
_cell_length_b 12.364
_cell_length_c 12.364
_cell_angle_alpha 119.35
_cell_angle_beta 90.00
_cell_angle_gamma 90.00
loop_
_symmetry_equiv_pos_as_xyz
'x,y,z'
loop_
_atom_site_label
_atom_site_type_symbol
_atom_site_fract_x
_atom_site_fract_y
_atom_site_fract_z
_atom_site_occupancy
Cs1 Cs 0.000 0.000 0.000 1
Cs2 Cs 0.000 0.261 0.506 1
Cs3 Cs 0.000 0.506 0.261 1
Cs4 Cs 0.500 0.007 0.256 1
Cs5 Cs 0.500 0.256 0.007 1
K1 K 0.251 0.590 0.924 1
K2 K 0.251 0.924 0.590 1
K3 K 0.500 0.517 0.517 1
K4 K 0.749 0.590 0.924 1
K5 K 0.749 0.924 0.590 1
Na1 Na 0.000 0.259 0.845 1
Na2 Na 0.000 0.664 0.664 1
Na3 Na 0.000 0.845 0.259 1
Na4 Na 0.500 0.264 0.666 1
Na5 Na 0.500 0.666 0.264 1
Na6 Na 0.500 0.834 0.834 1
```

## Properties
The symmetry is No. 38. The value obtained for the volume is 1117 Å³/f.u. Its total magnetization is 0.000 μB/f.u. For the formation energy, the calculation gives 0.02 eV per atom.


# 2
First-principles (PBE) data for CsKNa3 after structural relaxation, as listed in the Alexandria database.

The structure in CIF format:
```
data_CsKNa3
_symmetry_space_group_name_H-M 'P 1'
_symmetry_Int_Tables_number 1
_cell_length_a 9.707
_cell_length_b 9.707
_cell_length_c 9.707
_cell_angle_alpha 133.87
_cell_angle_beta 116.65
_cell_angle_gamma 81.86
loop_
_symmetry_equiv_pos_as_xyz
'x,y,z'
loop_
_atom_site_label
_atom_site_type_symbol
_atom_site_fract_x
_atom_site_fract_y
_atom_site_fract_z
_atom_site_occupancy
Cs1 Cs 0.259 0.009 0.250 1
Cs2 Cs 0.741 0.991 0.750 1
K1 K 0.000 0.500 0.500 1
K2 K 0.500 0.500 0.000 1
Na1 Na 0.183 0.000 0.683 1
Na2 Na 0.183 0.500 0.183 1
Na3 Na 0.462 0.712 0.750 1
Na4 Na 0.538 0.288 0.250 1
Na5 Na 0.817 0.000 0.317 1
Na6 Na 0.817 0.500 0.817 1
```

## Properties
The symmetry is No. 74. The value obtained for the volume is 284 Å³/f.u. Its total magnetization is 0.000 μB/f.u. As for the energy above the most stable polymorph in this dataset: 5.8 kJ/mol of formula units. For the formation energy, the calculation gives 0.04 eV per atom.


# 3
First-principles (PBE) data for CsK5Na3 after structural relaxation, as listed in the Alexandria database.

The structure in CIF format:
```
data_CsK5Na3
_symmetry_space_group_name_H-M 'P 1'
_symmetry_Int_Tables_number 1
_cell_length_a 12.173
_cell_length_b 12.173
_cell_length_c 8.846
_cell_angle_alpha 90.00
_cell_angle_beta 90.00
_cell_angle_gamma 120.00
loop_
_symmetry_equiv_pos_as_xyz
'x,y,z'
loop_
_atom_site_label
_atom_site_type_symbol
_atom_site_fract_x
_atom_site_fract_y
_atom_site_fract_z
_atom_site_occupancy
Cs1 Cs 0.000 0.000 0.000 1
Cs2 Cs 0.000 0.000 0.500 1
K1 K 0.000 0.342 0.250 1
K2 K 0.000 0.658 0.750 1
K3 K 0.333 0.667 0.000 1
K4 K 0.333 0.667 0.500 1
K5 K 0.342 0.000 0.250 1
K6 K 0.342 0.342 0.750 1
K7 K 0.658 0.000 0.750 1
K8 K 0.658 0.658 0.250 1
K9 K 0.667 0.333 0.000 1
K10 K 0.667 0.333 0.500 1
Na1 Na 0.000 0.335 0.750 1
Na2 Na 0.000 0.665 0.250 1
Na3 Na 0.335 0.000 0.750 1
Na4 Na 0.335 0.335 0.250 1
Na5 Na 0.665 0.000 0.250 1
Na6 Na 0.665 0.665 0.750 1
```

## Properties
The symmetry is No. 193. The value obtained for the volume is 568 Å³/f.u. Its total magnetization is 0.000 μB/f.u. For the formation energy, the calculation gives 0.03 eV per atom.


# 4
First-principles (PBE) data for Cs2KNa6 after structural relaxation, as listed in the Alexandria database.

The structure in CIF format:
```
data_Cs2KNa6
_symmetry_space_group_name_H-M 'P 1'
_symmetry_Int_Tables_number 1
_cell_length_a 8.459
_cell_length_b 8.459
_cell_length_c 8.210
_cell_angle_alpha 90.19
_cell_angle_beta 90.19
_cell_angle_gamma 59.56
loop_
_symmetry_equiv_pos_as_xyz
'x,y,z'
loop_
_atom_site_label
_atom_site_type_symbol
_atom_site_fract_x
_atom_site_fract_y
_atom_site_fract_z
_atom_site_occupancy
Cs1 Cs 0.166 0.166 0.144 1
Cs2 Cs 0.834 0.834 0.856 1
K1 K 0.500 0.500 0.000 1
Na1 Na 0.127 0.687 0.366 1
Na2 Na 0.311 0.311 0.635 1
Na3 Na 0.313 0.873 0.634 1
Na4 Na 0.687 0.127 0.366 1
Na5 Na 0.689 0.689 0.365 1
Na6 Na 0.873 0.313 0.634 1
```

## Properties
The symmetry is No. 12. The value obtained for the volume is 507 Å³/f.u. Its total magnetization is 0.000 μB/f.u. As for the energy above the most stable polymorph in this dataset: 0.0 kJ/mol of formula units. For the formation energy, the calculation gives 0.04 eV per atom.